(1)
GdInHg2 (PBE-GGA, relaxed); mass density = 11.2 g/cm³; E = -18.877 eV for the cell shown
1.0
-0.8710 -4.3408 0.0158
0.9227 -0.2021 -4.6487
4.5586 -0.9112 0.9444
Hg In Gd
2 1 1
Direct
0.0000 0.5000 0.0000
0.0000 0.0000 0.5000
0.5000 0.0000 0.0000
0.5000 0.5000 0.5000

(2)
GdInHg2 (PBE-GGA, relaxed); mass density = 11.0 g/cm³; E = -18.648 eV for the cell shown
1.0
3.7191 0.0000 0.0000
0.0000 3.7191 0.0000
0.0000 0.0000 7.3369
Gd In Hg
1 1 2
Direct
0.5000 0.5000 0.0000
0.5000 0.5000 0.5000
0.0000 0.0000 0.2545
0.0000 0.0000 0.7455

(3)
GdIn4Hg (PBE-GGA, relaxed); mass density = 8.4 g/cm³; E = -25.907 eV for the cell shown
1.0
-5.7176 0.9959 -1.9412
-4.6808 -2.9303 2.6371
-3.9379 3.0780 3.5313
In Hg Gd
4 1 1
Direct
0.1251 0.6250 0.6250
0.6250 0.6250 0.1251
0.6250 0.1251 0.6250
0.6250 0.6250 0.6250
0.0000 0.0000 0.0000
0.2500 0.2500 0.2500

no.,E_form (kJ/mol of formula units),volume (Å³/cell)
1,-140,100
2,-118,101
3,-55,162